(1)
Below is an optimized crystal structure of Mg3BiN, with properties calculated at the PBE-GGA level.

Values from the calculation:
formation energy from raw total energies: -0.3916 eV/atom
D(E_F): 2.50 states/eV per cell
final energy: -3.79 eV/atom
volume: 102.7 Å³/f.u.

```
Mg3BiN
1.0
7.2159 0.0000 0.0000
0.0000 5.9573 0.0000
-1.6324 0.0000 9.5594
Mg Bi N
12 4 4
Cartesian
-0.0040 0.2030 1.3402
-0.8202 2.7757 6.1199
1.1248 3.3873 0.5405
0.3086 5.5487 5.3202
0.9732 1.2036 8.7880
1.7894 1.7750 4.0083
3.7941 4.1823 5.5510
4.6103 4.7537 0.7714
5.2749 0.4086 4.2391
4.4587 2.5701 9.0188
6.4037 3.1817 3.4395
5.5875 5.7543 8.2191
1.3064 4.2980 7.7889
2.1226 4.6380 3.0092
3.4609 1.3194 6.5501
4.2771 1.6593 1.7704
-0.9905 1.4774 9.3898
-0.1743 1.5013 4.6101
5.7578 4.4561 4.9493
6.5740 4.4799 0.1696
```

(2)
Below is an optimized crystal structure of SiHgIr2, with properties calculated at the PBE-GGA level.

Values from the calculation:
formation energy from raw total energies: 0.2693 eV/atom
polymorph energy (0 for the lowest one): 460 meV per atom
D(E_F): 1.52 states/eV per cell
final energy: -5.59 eV/atom
volume: 62.2 Å³/f.u.

```
SiHgIr2
1.0
-2.1128 2.1128 3.4821
2.1128 -2.1128 3.4821
2.1128 2.1128 -3.4821
Si Hg Ir
1 1 2
Cartesian
0.0000 0.0000 0.0000
0.0000 0.0000 3.4821
2.1128 0.0000 1.7411
0.0000 2.1128 1.7411
```

(3)
Below is an optimized crystal structure of K2LiInAu2, with properties calculated at the PBE-GGA level.

Values from the calculation:
D(E_F): 4.15 states/eV per cell
final energy: -2.55 eV/atom
energy of formation from the pure elements: -317 meV/atom
volume: 179.2 Å³/f.u.

```
K2LiInAu2
1.0
-3.3533 7.6333 3.4995
3.3533 -7.6333 3.4995
3.3533 7.6333 -3.4995
K Li In Au
4 2 2 4
Cartesian
1.6049 2.7009 0.0000
1.6049 -2.7009 3.4995
1.7484 10.3342 0.0000
1.7484 4.9324 3.4995
0.0000 0.0000 1.7497
0.0000 0.0000 5.2492
3.3533 0.0000 1.7497
0.0000 7.6333 1.7497
5.1028 1.3967 0.0000
1.7495 6.2366 0.0000
1.6038 1.3967 3.4995
-1.7495 6.2366 3.4995
```

(4)
Below is an optimized crystal structure of SrNb3Al, with properties calculated at the PBE-GGA level.

Values from the calculation:
polymorph energy (0 for the lowest one): 1294 meV per atom
D(E_F): 4.66 states/eV per cell
final energy: -4.72 eV/atom
energy of formation from the pure elements: 2406 meV/atom
volume: 115.2 Å³/f.u.

```
SrNb3Al
1.0
4.8652 0.0000 0.0000
0.0000 4.8652 0.0000
0.0000 0.0000 4.8652
Sr Nb Al
1 3 1
Cartesian
0.0000 0.0000 0.0000
0.0000 0.0000 2.4326
0.0000 2.4326 0.0000
2.4326 0.0000 0.0000
2.4326 2.4326 2.4326
```

(5)
Below is an optimized crystal structure of SrScSi3, with properties calculated at the PBE-GGA level.

Values from the calculation:
formation energy from raw total energies: 0.1438 eV/atom
polymorph energy (0 for the lowest one): 0 meV per atom
D(E_F): 2.79 states/eV per cell
final energy: -4.71 eV/atom
volume: 127.6 Å³/f.u.

```
SrScSi3
1.0
5.0344 0.0000 0.0000
0.0000 5.0344 0.0000
0.0000 0.0000 5.0344
Sr Sc Si
1 1 3
Cartesian
0.0000 0.0000 0.0000
2.5172 2.5172 2.5172
0.0000 2.5172 2.5172
2.5172 0.0000 2.5172
2.5172 2.5172 0.0000
```

(6)
Below is an optimized crystal structure of K2Cd3GaAu4, with properties calculated at the PBE-GGA level.

Values from the calculation:
D(E_F): 4.55 states/eV per cell
final energy: -2.34 eV/atom
energy of formation from the pure elements: -236 meV/atom
volume: 260.7 Å³/f.u.

```
K2Cd3GaAu4
1.0
4.8387 0.0000 0.0000
0.0000 4.8387 0.0000
0.0000 0.0000 11.1341
K Cd Ga Au
2 3 1 4
Cartesian
0.0000 2.4193 2.7089
2.4193 0.0000 8.4252
0.0000 2.4193 9.6594
2.4193 0.0000 1.4747
2.4193 2.4193 5.5670
0.0000 0.0000 5.5670
0.0000 0.0000 0.0000
0.0000 2.4193 6.8793
2.4193 0.0000 4.2548
2.4193 2.4193 0.0000
```